DFT (PBE-GGA) results for a relaxed structure of Cs2CuAg2.

The space group is P4/mbm (No. 127) and the conventional cell measures 7.5201, 7.5201 and 5.8093 Å, with angles of 90.00, 90.00 and 90.00 degrees. The inequivalent atoms are Cs at (0.1807, 0.3193, 0.0000), Cu at (0.0000, 0.0000, 0.5000) and Ag at (0.1380, 0.6380, 0.5000).

The calculation puts the total magnetization at 0.00 μB per atom. As for the relative energy among the computed polymorphs: 78 meV per atom. The formation energy comes out at 0.322 eV per atom. As for the crystal system: tetragonal. For the density of states at the Fermi level, the calculation gives 4.87 states/eV/cell.